# 1
PrYNpO6 | PBE | optimized geometry

a b c (Å): 5.8002 5.8002 9.8380
angles (deg): 90.00 90.00 120.00
With the nearest neighbours (Å) after each atom.
Space group P-31c (No. 163)
Symmetry-distinct sites (fractional):
Pr 0.0000 0.0000 0.0000 x2  6 O 2.46
Y 0.3333 0.6667 0.2500 x2  6 O 2.28
Np 0.3333 0.6667 0.7500 x2  6 O 2.08
O 0.0261 0.3659 0.6375 x12  1 Np 2.08, 1 Y 2.28

Calculated values
For the magnetization, the calculation gives 1.00 μB/f.u. As for the crystal system: trigonal. The uncorrected energy is -9.1672 eV/atom.

***

# 2
PrNpZnO6 | PBE | optimized geometry

a b c (Å): 5.4032 5.4032 10.4630
angles (deg): 90.00 90.00 120.00
With the nearest neighbours (Å) after each atom.
Space group P-31c (No. 163)
Symmetry-distinct sites (fractional):
Pr 0.0000 0.0000 0.0000 x2  6 O 2.42
Np 0.3333 0.6667 0.2500 x2  6 O 2.03
Zn 0.3333 0.6667 0.7500 x2  6 O 2.14
O 0.0154 0.3642 0.1406 x12  1 Np 2.03, 1 Zn 2.14

Calculated values
For the magnetization, the calculation gives 0.00 μB/f.u. As for the crystal system: trigonal. The uncorrected energy is -7.9239 eV/atom.

***

# 3
NpPtO6 | PBE | optimized geometry

a b c (Å): 5.4539 5.4539 13.7428
angles (deg): 90.00 90.00 120.00
With the nearest neighbours (Å) after each atom.
Space group R-3 (No. 148, hexagonal axes)
Symmetry-distinct sites (fractional):
Np 0.0000 0.0000 0.0000 x3  6 O 2.01
Pt 0.0000 0.0000 0.5000 x3  6 O 1.97
O 0.0033 0.4254 0.2486 x18  1 Pt 1.97, 1 Np 2.01

Calculated values
For the magnetization, the calculation gives 0.00 μB/f.u. The value obtained for the density of states at the Fermi level is 0.42 states/eV/atom. As for the crystal system: trigonal. The uncorrected energy is -7.5370 eV/atom.

***

# 4
NpPtO4 | PBE | optimized geometry

a b c (Å): 6.6763 6.6763 7.4399
angles (deg): 90.00 90.00 90.00
With the nearest neighbours (Å) after each atom.
Space group I4_1/amd (No. 141, origin choice 2)
Symmetry-distinct sites (fractional):
Np 0.0000 0.2500 0.3750 x4  4 O 2.10
Pt 0.0000 0.2500 0.8750 x4  4 O 2.04
O 0.0000 0.0618 0.6596 x16  1 Pt 2.04, 1 Np 2.10

Calculated values
For the magnetization, the calculation gives 2.88 μB/f.u. The value obtained for the density of states at the Fermi level is 0.64 states/eV/atom. As for the crystal system: tetragonal. The uncorrected energy is -8.0171 eV/atom.

***

# 5
NpPtO5 | PBE | optimized geometry

a b c (Å): 8.6460 6.5546 7.4106
angles (deg): 90.00 115.03 90.00
With the nearest neighbours (Å) after each atom.
Space group C2/c (No. 15)
Symmetry-distinct sites (fractional):
Np 0.0000 0.0317 0.2500 x4  4 O 1.93-2.11
Pt 0.0000 0.5000 0.0000 x4  6 O 2.00-2.02
O 0.0000 0.3843 0.2500 x4  2 Pt 2.00
O 0.0109 0.1976 0.9547 x8  1 Pt 2.02, 1 Np 2.11
O 0.2466 0.0350 0.3673 x8  1 Np 1.93, 1 Pt 2.00

Calculated values
For the magnetization, the calculation gives 1.00 μB/f.u. The value obtained for the density of states at the Fermi level is 0.67 states/eV/atom. As for the crystal system: monoclinic. The uncorrected energy is -7.9366 eV/atom.

***

# 6
NpPtO | PBE | optimized geometry

a b c (Å): 3.1215 3.1215 20.2797
angles (deg): 90.00 90.00 90.00
With the nearest neighbours (Å) after each atom.
Space group I4/mmm (No. 139)
Symmetry-distinct sites (fractional):
Np 0.0000 0.0000 0.1671 x4  5 O 2.37-2.50
Pt 0.0000 0.0000 0.4341 x4  1 Pt 2.67, 1 O 2.92
O 0.0000 0.0000 0.2902 x4  5 Np 2.37-2.50

Calculated values
For the magnetization, the calculation gives 3.39 μB/f.u. The value obtained for the density of states at the Fermi level is 1.73 states/eV/atom. As for the crystal system: tetragonal. The uncorrected energy is -9.4004 eV/atom.

***

# 7
RbNp2PtO8 | PBE | optimized geometry

a b c (Å): 5.6840 5.7090 7.1055
angles (deg): 85.77 85.77 74.29
With the nearest neighbours (Å) after each atom.
Space group P-1 (No. 2)
Symmetry-distinct sites (fractional):
Rb 0.0000 0.0000 0.0000 x1  4 O 2.64
Np 0.4987 0.4987 0.7394 x2  4 O 1.89-2.02
Pt 0.0000 0.0000 0.5000 x1  4 O 2.00
O 0.1905 0.7677 0.6930 x2  1 Pt 2.00, 1 Np 2.02
O 0.2324 0.8092 0.3071 x2  1 Pt 2.00, 1 Np 2.02
O 0.3600 0.3615 0.4745 x2  1 Np 1.89
O 0.3624 0.3635 0.9643 x2  1 Np 1.93

Calculated values
For the magnetization, the calculation gives 1.00 μB/f.u. The value obtained for the density of states at the Fermi level is 0.56 states/eV/atom. As for the crystal system: triclinic. The uncorrected energy is -8.0932 eV/atom.

***

# 8
Rb2Np3PtO12 | PBE | optimized geometry

a b c (Å): 7.8479 7.8479 18.1001
angles (deg): 90.00 90.00 120.00
With the nearest neighbours (Å) after each atom.
Space group R-3m (No. 166, hexagonal axes)
Symmetry-distinct sites (fractional):
Rb 0.0000 0.0000 0.1304 x6  9 O 3.35-3.63
Np 0.0000 0.5000 0.0000 x9  6 O 2.00-2.11
Pt 0.0000 0.0000 0.5000 x3  6 O 2.00
O 0.0786 0.5393 0.3603 x18  2 Np 2.11
O 0.0868 0.5434 0.1058 x18  1 Np 2.00, 1 Pt 2.00

Calculated values
For the magnetization, the calculation gives 3.00 μB/f.u. The value obtained for the density of states at the Fermi level is 0.46 states/eV/atom. As for the crystal system: trigonal. The uncorrected energy is -8.1820 eV/atom.

***

# 9
Rb2NpPt3O12 | PBE | optimized geometry

a b c (Å): 7.2324 7.2324 18.7456
angles (deg): 90.00 90.00 120.00
With the nearest neighbours (Å) after each atom.
Space group R-3m (No. 166, hexagonal axes)
Symmetry-distinct sites (fractional):
Rb 0.0000 0.0000 0.1193 x6  6 O 3.05-3.26
Np 0.0000 0.0000 0.5000 x3  6 O 2.01
Pt 0.0000 0.5000 0.0000 x9  6 O 1.98-2.01
O 0.0636 0.5318 0.3586 x18  2 Pt 1.98
O 0.0710 0.5355 0.1045 x18  1 Pt 2.01, 1 Np 2.01

Calculated values
For the magnetization, the calculation gives 1.51 μB/f.u. The value obtained for the density of states at the Fermi level is 0.29 states/eV/atom. As for the crystal system: trigonal. The uncorrected energy is -6.3250 eV/atom.

***

# 10
RbNpPtO6 | PBE | optimized geometry

a b c (Å): 5.3370 5.3370 6.5761
angles (deg): 90.00 90.00 120.00
With the nearest neighbours (Å) after each atom.
Space group P312 (No. 149)
Symmetry-distinct sites (fractional):
Rb 0.0000 0.0000 0.0000 x1  6 O 2.90
Np 0.3333 0.6667 0.5000 x1  6 O 2.05
Pt 0.6667 0.3333 0.5000 x1  6 O 2.04
O 0.9998 0.3624 0.6713 x6  1 Pt 2.04, 1 Np 2.05

Calculated values
For the magnetization, the calculation gives 0.04 μB/f.u. The value obtained for the density of states at the Fermi level is 0.01 states/eV/atom. As for the crystal system: trigonal. The uncorrected energy is -7.2553 eV/atom.

***

# 11
Rb2NpPtO6 | PBE | optimized geometry

a b c (Å): 5.7561 5.7561 10.7253
angles (deg): 90.00 90.00 90.00
With the nearest neighbours (Å) after each atom.
Space group I4/mmm (No. 139)
Symmetry-distinct sites (fractional):
Rb 0.0000 0.5000 0.2500 x4  4 O 2.99
Np 0.0000 0.0000 0.0000 x2  2 O 1.88
Pt 0.0000 0.0000 0.5000 x2  4 O 1.95
O 0.0000 0.0000 0.1757 x4  1 Np 1.88
O 0.2399 0.2399 0.5000 x8  1 Pt 1.95, 1 Np 2.12

Calculated values
For the magnetization, the calculation gives 0.69 μB/f.u. The value obtained for the density of states at the Fermi level is 0.46 states/eV/atom. As for the crystal system: tetragonal. The uncorrected energy is -6.9163 eV/atom.

***

# 12
NpPtRhO6 | PBE | optimized geometry

a b c (Å): 5.2534 5.2534 9.1394
angles (deg): 90.00 90.00 120.00
With the nearest neighbours (Å) after each atom.
Space group P-31c (No. 163)
Symmetry-distinct sites (fractional):
Np 0.3333 0.6667 0.2500 x2  6 O 2.12
Pt 0.3333 0.6667 0.7500 x2  6 O 2.08
Rh 0.0000 0.0000 0.0000 x2  6 O 2.08
O 0.0049 0.3335 0.6242 x12  1 Rh 2.08, 1 Pt 2.08, 1 Np 2.12

Calculated values
For the magnetization, the calculation gives 2.02 μB/f.u. The value obtained for the density of states at the Fermi level is 0.57 states/eV/atom. As for the crystal system: trigonal. The uncorrected energy is -7.6615 eV/atom.